# KLaCeNiO6 (PBE+U, relaxed)
# Spin magnetization: 0.0 μB/cell
# Raw total energy: -6.569 eV/atom
data_KLaCeNiO6
_cell_length_a 8.105
_cell_length_b 8.105
_cell_length_c 8.105
_cell_angle_alpha 90.00
_cell_angle_beta 90.00
_cell_angle_gamma 90.00
_space_group_name_H-M_alt 'F -4 3 m'
_space_group_IT_number 216
_space_group_name_Hall 'F -4 2 3'
loop_
_atom_site_label
_atom_site_type_symbol
_atom_site_fract_x
_atom_site_fract_y
_atom_site_fract_z
K1 K 0.000 0.000 0.000
La1 La 0.000 0.000 0.500
Ce1 Ce 0.250 0.250 0.750
Ni1 Ni 0.250 0.250 0.250
O1 O 0.019 0.250 0.250